A relaxed structure of Tb3Y3Pu. Source: the Alexandria database, functional GGA-PBE. Values from VASP.

Values from the calculation:
DOS at the Fermi energy	2.439	states/eV/atom
V	463	Å³ per cell
ΔH_f (0 K)	1.3	eV/f.u.
DFT total energy	-6.61	eV/atom

Cell and atoms, written as Quantum ESPRESSO input:
```
&SYSTEM
  ibrav = 0, nat = 14, ntyp = 3
/
ATOMIC_SPECIES
Tb 158.93 Tb.upf
Y 88.91 Y.upf
Pu 244.00 Pu.upf
CELL_PARAMETERS angstrom
3.090 1.784 14.008
-3.090 1.784 14.008
0.000 -3.568 14.008
ATOMIC_POSITIONS crystal
Tb 0.103 0.436 0.768
Tb 0.232 0.897 0.564
Tb 0.436 0.768 0.103
Tb 0.564 0.232 0.897
Tb 0.768 0.103 0.436
Tb 0.897 0.564 0.232
Y 0.036 0.700 0.368
Y 0.300 0.632 0.964
Y 0.368 0.036 0.700
Y 0.632 0.964 0.300
Y 0.700 0.368 0.036
Y 0.964 0.300 0.632
Pu 0.167 0.167 0.167
Pu 0.833 0.833 0.833
```